A relaxed structure of Mn2GeBRh. Source: Alexandria via LeMat-Bulk, functional GGA-PBE.

Properties
* M_tot: 5.9 μB per cell
* formation enthalpy at 0 K: 1.14 eV/f.u.
* V: 64 Å³ per cell
* total DFT energy (no corrections): -7.169 eV per atom

Cell lengths 3.9518, 3.9518, 4.1259 Å; angles 90.00, 90.00, 90.00 degrees
Space group P4/mmm (No. 123)
One atom of each set of equivalent atoms:
Mn (0.0000, 0.5000, 0.0000) [2 per cell]
Ge (0.0000, 0.0000, 0.5000) [1 per cell]
B (0.0000, 0.0000, 0.0000) [1 per cell]
Rh (0.5000, 0.5000, 0.5000) [1 per cell]

***

A relaxed structure of MnGe2BS. Source: Alexandria via LeMat-Bulk, functional GGA-PBE.

Properties
* M_tot: 3.7 μB per cell
* formation energy from raw total energies: 1.295 eV/atom
* V: 106 Å³ per cell
* total DFT energy (no corrections): -4.547 eV per atom

Cell lengths 4.9749, 4.9749, 4.2741 Å; angles 90.00, 90.00, 90.00 degrees
Space group P4/mmm (No. 123)
One atom of each set of equivalent atoms:
Mn (0.0000, 0.0000, 0.0000) [1 per cell]
Ge (0.0000, 0.5000, 0.5000) [2 per cell]
B (0.5000, 0.5000, 0.0000) [1 per cell]
S (0.0000, 0.0000, 0.5000) [1 per cell]